# InReSN2

InReSN2 after structural relaxation (PBE, the Alexandria database).

The structure in POSCAR format:
```
InReSN2
1.0
4.132 0.000 0.000
0.000 4.132 0.000
0.000 0.000 5.259
In Re S N
1 1 1 2
Direct
0.000 0.000 0.000 In
0.500 0.500 0.500 Re
0.000 0.000 0.500 S
0.000 0.500 0.000 N
0.500 0.000 0.000 N
```

Computed properties:
- distance to the lowest polymorph of the same formula (eV/atom) = 1.892
- DFT total energy (eV per atom) = -5.01
- magnetization (μB/f.u.) = 1.72
- raw formation energy (eV per atom) = 2.1874